An optimized crystal structure of CeSiP, computed with PBE-GGA.

a = 4.869 Å, b = 4.869 Å, c = 4.869 Å
α = 130.51°, β = 130.51°, γ = 72.60°
Atoms (fractional coordinates):
Ce1 0.000 0.000 0.000
Si1 0.637 0.637 0.000
P1 0.363 0.363 0.000

Computed properties:
M_tot: 0.00 μB per formula unit
E: -6.17 eV per atom
E_form (uncorrected): -1.733 eV per formula unit

***

An optimized crystal structure of Ce7Si5P, computed with PBE-GGA.

a = 7.857 Å, b = 7.857 Å, c = 7.857 Å
α = 134.93°, β = 95.70°, γ = 101.21°
Atoms (fractional coordinates):
Ce1 0.000 0.000 0.000
Ce2 0.425 0.425 0.000
Ce3 0.428 0.712 0.716
Ce4 0.479 0.144 0.335
Ce5 0.809 0.144 0.665
Ce6 0.856 0.356 0.500
Ce7 0.996 0.712 0.284
Si1 0.178 0.239 0.536
Si2 0.178 0.642 0.940
Si3 0.401 0.901 0.500
Si4 0.703 0.239 0.060
Si5 0.703 0.642 0.464
P1 0.709 0.709 0.000

Computed properties:
M_tot: 4.55 μB per formula unit
E: -6.20 eV per atom
E_form (uncorrected): -6.476 eV per formula unit

***

An optimized crystal structure of Ce2SiP, computed with PBE-GGA.

a = 7.188 Å, b = 7.188 Å, c = 7.188 Å
α = 33.39°, β = 33.39°, γ = 33.39°
Atoms (fractional coordinates):
Ce1 0.248 0.248 0.248
Ce2 0.752 0.752 0.752
Si1 0.000 0.000 0.000
P1 0.500 0.500 0.500

Computed properties:
E above lowest polymorph: 0.0674 eV per atom
M_tot: 0.56 μB per formula unit
E: -6.65 eV per atom
E_form (uncorrected): -3.896 eV per formula unit

***

An optimized crystal structure of CeSiP3, computed with PBE-GGA.

a = 5.820 Å, b = 24.558 Å, c = 5.691 Å
α = 90.00°, β = 90.00°, γ = 90.00°
Atoms (fractional coordinates):
Ce1 0.001 0.081 0.000
Ce2 0.001 0.406 0.499
Ce3 0.499 0.581 0.500
Ce4 0.499 0.906 0.999
Ce5 0.501 0.094 0.499
Ce6 0.501 0.419 0.000
Ce7 0.999 0.594 0.999
Ce8 0.999 0.919 0.500
Si1 0.072 0.797 0.089
Si2 0.097 0.293 0.084
Si3 0.403 0.793 0.584
Si4 0.428 0.297 0.589
Si5 0.572 0.703 0.089
Si6 0.597 0.207 0.084
Si7 0.903 0.707 0.584
Si8 0.928 0.203 0.589
P1 0.005 0.623 0.497
P2 0.007 0.118 0.497
P3 0.031 0.792 0.483
P4 0.061 0.286 0.479
P5 0.192 0.500 0.250
P6 0.193 0.500 0.752
P7 0.307 0.000 0.252
P8 0.308 0.000 0.750
P9 0.439 0.786 0.979
P10 0.469 0.292 0.983
P11 0.493 0.618 0.997
P12 0.495 0.123 0.997
P13 0.505 0.877 0.497
P14 0.507 0.382 0.497
P15 0.531 0.708 0.483
P16 0.561 0.214 0.479
P17 0.692 0.000 0.250
P18 0.693 0.000 0.752
P19 0.807 0.500 0.252
P20 0.808 0.500 0.750
P21 0.939 0.714 0.979
P22 0.969 0.208 0.983
P23 0.993 0.882 0.997
P24 0.995 0.377 0.997

Computed properties:
E above lowest polymorph: 0.0000 eV per atom
M_tot: 0.59 μB per formula unit
E: -6.19 eV per atom
E_form (uncorrected): -3.387 eV per formula unit

***

An optimized crystal structure of CeSiP2, computed with PBE-GGA.

a = 7.412 Å, b = 7.412 Å, c = 7.412 Å
α = 34.42°, β = 34.42°, γ = 34.42°
Atoms (fractional coordinates):
Ce1 0.000 0.000 0.000
Si1 0.500 0.500 0.500
P1 0.398 0.398 0.398
P2 0.602 0.602 0.602

Computed properties:
E above lowest polymorph: 0.6713 eV per atom
M_tot: 0.91 μB per formula unit
E: -5.66 eV per atom
E_form (uncorrected): -0.461 eV per formula unit

***

An optimized crystal structure of Ce4SiP3, computed with PBE-GGA.

a = 5.818 Å, b = 5.818 Å, c = 5.818 Å
α = 90.00°, β = 90.00°, γ = 90.00°
Atoms (fractional coordinates):
Ce1 0.000 0.000 0.000
Ce2 0.000 0.500 0.500
Ce3 0.500 0.000 0.500
Ce4 0.500 0.500 0.000
Si1 0.500 0.500 0.500
P1 0.000 0.000 0.500
P2 0.000 0.500 0.000
P3 0.500 0.000 0.000

Computed properties:
M_tot: 1.87 μB per formula unit
E: -6.91 eV per atom
E_form (uncorrected): -9.895 eV per formula unit

***

An optimized crystal structure of CeSi2Tc2P, computed with PBE-GGA.

a = 4.417 Å, b = 4.417 Å, c = 5.425 Å
α = 90.00°, β = 90.00°, γ = 90.00°
Atoms (fractional coordinates):
Ce1 0.000 0.000 0.000
Si1 0.500 0.500 0.221
Si2 0.500 0.500 0.779
Tc1 0.000 0.500 0.500
Tc2 0.500 0.000 0.500
P1 0.000 0.000 0.500

Computed properties:
M_tot: 0.51 μB per formula unit
E: -7.60 eV per atom
E_form (uncorrected): -2.655 eV per formula unit

***

An optimized crystal structure of Ce8SiTe4P3, computed with PBE-GGA.

a = 8.737 Å, b = 8.737 Å, c = 8.737 Å
α = 58.19°, β = 58.19°, γ = 58.19°
Atoms (fractional coordinates):
Ce1 0.236 0.741 0.741
Ce2 0.238 0.238 0.238
Ce3 0.259 0.259 0.764
Ce4 0.259 0.764 0.259
Ce5 0.741 0.236 0.741
Ce6 0.741 0.741 0.236
Ce7 0.762 0.762 0.762
Ce8 0.764 0.259 0.259
Si1 0.500 0.500 0.500
Te1 0.000 0.000 0.000
Te2 0.000 0.500 0.500
Te3 0.500 0.000 0.500
Te4 0.500 0.500 0.000
P1 0.000 0.000 0.500
P2 0.000 0.500 0.000
P3 0.500 0.000 0.000

Computed properties:
M_tot: 7.11 μB per formula unit
E: -6.46 eV per atom
E_form (uncorrected): -21.602 eV per formula unit

***

An optimized crystal structure of Ce4SiTe2P, computed with PBE-GGA.

a = 7.398 Å, b = 4.275 Å, c = 7.633 Å
α = 90.00°, β = 108.90°, γ = 90.00°
Atoms (fractional coordinates):
Ce1 0.237 0.000 0.218
Ce2 0.257 0.500 0.779
Ce3 0.743 0.500 0.221
Ce4 0.763 0.000 0.782
Si1 0.500 0.000 0.000
Te1 0.000 0.000 0.500
Te2 0.500 0.500 0.500
P1 0.000 0.500 0.000

Computed properties:
M_tot: 3.44 μB per formula unit
E: -6.34 eV per atom
E_form (uncorrected): -9.840 eV per formula unit

***

An optimized crystal structure of Ce6SiTe3P2, computed with PBE-GGA.

a = 9.720 Å, b = 9.720 Å, c = 8.734 Å
α = 105.03°, β = 105.03°, γ = 25.30°
Atoms (fractional coordinates):
Ce1 0.008 0.008 0.236
Ce2 0.326 0.326 0.436
Ce3 0.339 0.339 0.896
Ce4 0.661 0.661 0.104
Ce5 0.674 0.674 0.564
Ce6 0.992 0.992 0.764
Si1 0.500 0.500 0.000
Te1 0.166 0.166 0.833
Te2 0.500 0.500 0.500
Te3 0.834 0.834 0.167
P1 0.167 0.167 0.335
P2 0.833 0.833 0.665

Computed properties:
M_tot: 5.12 μB per formula unit
E: -6.41 eV per atom
E_form (uncorrected): -15.702 eV per formula unit

***

An optimized crystal structure of Ce2SmP, computed with PBE-GGA.

a = 10.118 Å, b = 10.118 Å, c = 10.118 Å
α = 21.42°, β = 21.42°, γ = 21.42°
Atoms (fractional coordinates):
Ce1 0.109 0.109 0.109
Ce2 0.891 0.891 0.891
Sm1 0.000 0.000 0.000
P1 0.500 0.500 0.500

Computed properties:
E above lowest polymorph: 0.1489 eV per atom
M_tot: 2.06 μB per formula unit
E: -5.92 eV per atom
DFT formation energy: -422 meV per atom

***

An optimized crystal structure of Ce2Sm2P5, computed with PBE-GGA.

a = 7.997 Å, b = 7.997 Å, c = 7.650 Å
α = 90.00°, β = 90.00°, γ = 56.88°
Atoms (fractional coordinates):
Ce1 0.195 0.195 0.000
Ce2 0.305 0.305 0.500
Ce3 0.695 0.695 0.500
Ce4 0.805 0.805 0.000
Sm1 0.157 0.843 0.660
Sm2 0.343 0.657 0.160
Sm3 0.657 0.343 0.840
Sm4 0.843 0.157 0.340
P1 0.000 0.000 0.000
P2 0.013 0.704 0.348
P3 0.204 0.513 0.848
P4 0.296 0.987 0.348
P5 0.487 0.796 0.848
P6 0.500 0.500 0.500
P7 0.513 0.204 0.152
P8 0.704 0.013 0.652
P9 0.796 0.487 0.152
P10 0.987 0.296 0.652

Computed properties:
M_tot: 0.00 μB per formula unit
E: -6.60 eV per atom
DFT formation energy: -1225 meV per atom